Computed, not measured: a PBEsol-optimized structure of La2SiAgN at the meta-GGA SCAN level of DFT.

Output
For the density of states at the Fermi level, the calculation gives 2.90 states/eV per cell. The uncorrected formation energy is 0.303 eV per atom. The calculated volume comes out at 24.58 Å³ per atom. Its space group is P4/mmm (123).

Cell: 5.7288 5.7288 3.7449 Å, 90.00 90.00 90.00°
With the nearest neighbours (Å) after each atom.
Atoms (fractional coordinates):
La: 0.0000 0.5000 0.0000  2 Ag 2.86
La: 0.5000 0.0000 0.0000  2 Ag 2.86
Si: 0.0000 0.0000 0.5000  8 La 3.42, 2 Si 3.74
Ag: 0.5000 0.5000 0.0000  2 N 1.87
N: 0.5000 0.5000 0.5000  2 Ag 1.87